Record 1
5
Lattice="3.082 0.000 0.000 1.541 4.893 -0.063 1.541 0.900 5.758" Properties=species:S:1:pos:R:3 comment="Li4Zn | Alexandria | PBE-GGA | optimized geometry" e_above_lowest_polymorph_mev_per_atom=11.1 delta_e_f_ev_per_atom=-0.07 pbc="T T T"
Li 3.082 3.512 0.672
Li 3.082 4.923 3.913
Li 3.082 0.870 1.781
Li 3.082 2.281 5.022
Zn 1.541 2.896 2.847

=====

Record 2
16
Lattice="-3.790 -1.268 -3.628 2.646 -3.910 2.617 -6.528 0.119 6.779" Properties=species:S:1:pos:R:3 comment="LiZn15 | Alexandria | PBE-GGA | optimized geometry" delta_e_f_ev_per_atom=-0.04 pbc="T T T"
Li 0.000 0.000 0.000
Zn -3.264 0.059 3.389
Zn -2.458 -3.210 -2.311
Zn -5.731 -3.163 1.070
Zn -1.892 -0.651 -1.811
Zn -5.159 -0.575 1.576
Zn -0.584 -2.584 -0.517
Zn -3.836 -2.529 2.884
Zn -4.335 -1.676 -0.917
Zn -7.638 -1.616 2.512
Zn -3.006 -3.641 0.397
Zn -6.308 -3.580 3.827
Zn -2.431 -1.040 0.905
Zn -5.734 -0.979 4.335
Zn -1.104 -3.000 2.202
Zn -4.423 -2.939 5.648

=====

Record 3
12
Lattice="-2.619 3.443 0.904 -2.032 -3.512 -3.313 -1.208 -3.182 8.620" Properties=species:S:1:pos:R:3 comment="Li7Zn5 | Alexandria | PBE-GGA | optimized geometry" e_above_lowest_polymorph_mev_per_atom=0.0 delta_e_f_ev_per_atom=-0.15 pbc="T T T"
Li -3.740 -3.926 4.116
Li -2.118 0.675 2.095
Li -4.444 -0.626 0.313
Li -1.415 -2.625 5.898
Li -2.486 1.080 -0.514
Li -1.914 0.130 4.762
Li -3.373 -4.332 6.725
Zn -1.804 -2.245 3.323
Zn -4.055 -1.007 2.888
Zn -1.909 -1.650 0.751
Zn -3.949 -1.602 5.460
Zn 0.000 0.000 0.000

=====

Record 4
13
Lattice="7.554 0.000 0.000 3.777 6.542 0.000 3.777 2.181 6.167" Properties=species:S:1:pos:R:3 comment="LiZn12 | Alexandria | PBE-GGA | optimized geometry" e_above_lowest_polymorph_mev_per_atom=358.0 delta_e_f_ev_per_atom=0.34 pbc="T T T"
Li 0.000 0.000 0.000
Zn 10.120 4.361 3.084
Zn 4.987 4.361 3.084
Zn 6.270 6.584 3.084
Zn 6.270 3.620 0.988
Zn 7.554 2.879 5.180
Zn 7.554 5.843 0.988
Zn 6.270 5.102 5.180
Zn 6.270 2.138 3.084
Zn 8.837 5.102 5.180
Zn 8.837 3.620 0.988
Zn 8.837 6.584 3.084
Zn 8.837 2.138 3.084

=====

Record 5
4
Lattice="2.795 0.000 0.000 -1.398 2.421 0.000 0.000 0.000 9.349" Properties=species:S:1:pos:R:3 comment="LiZn | Alexandria | PBE-GGA | optimized geometry" delta_e_f_ev_per_atom=-0.07 pbc="T T T"
Li 0.000 0.000 9.248
Li 1.398 0.807 2.438
Zn 0.000 0.000 4.704
Zn 1.398 0.807 6.981

=====

Record 6
13
Lattice="6.474 0.000 -2.289 -3.237 5.606 -2.289 0.000 0.000 6.866" Properties=species:S:1:pos:R:3 comment="Li12Zn | Alexandria | PBE-GGA | optimized geometry" delta_e_f_ev_per_atom=0.00 pbc="T T T"
Li 2.786 2.869 2.926
Li 1.657 4.826 -2.343
Li 1.580 0.781 4.632
Li 0.451 2.737 -0.637
Li 0.641 4.628 1.651
Li 5.007 0.978 2.343
Li -1.771 4.628 -0.054
Li 2.596 0.978 0.637
Li 3.123 3.847 0.054
Li -1.092 3.847 3.940
Li 4.329 1.759 -1.651
Li 0.114 1.759 2.235
Zn 0.000 0.000 0.000

=====

Record 7
15
Lattice="-3.017 -2.433 -3.427 -2.351 -4.193 5.368 -3.592 7.453 -1.499" Properties=species:S:1:pos:R:3 comment="Li13Zn2 | Alexandria | PBE-GGA | optimized geometry" e_above_lowest_polymorph_mev_per_atom=0.0 delta_e_f_ev_per_atom=-0.04 pbc="T T T"
Li -7.144 3.023 -0.265
Li -1.815 -2.195 0.707
Li 0.000 0.000 0.000
Li -3.045 3.539 -1.403
Li -5.915 -2.712 1.846
Li -4.386 3.250 1.218
Li -4.573 -2.422 -0.775
Li -4.081 -0.399 1.296
Li -4.878 1.226 -0.853
Li -6.268 1.172 1.844
Li -2.691 -0.344 -1.401
Li -5.722 3.241 -2.940
Li -3.237 -2.413 3.383
Zn -6.709 -0.833 -0.154
Zn -2.251 1.661 0.596

=====

Record 8
10
Lattice="-4.760 -0.487 0.393 1.991 0.342 -4.782 1.624 -6.789 11.527" Properties=species:S:1:pos:R:3 comment="LiZn4 | Alexandria | PBE-GGA | optimized geometry" e_above_lowest_polymorph_mev_per_atom=0.0 delta_e_f_ev_per_atom=-0.13 pbc="T T T"
Li -0.447 -5.243 8.325
Li -0.387 -1.770 2.482
Zn -0.899 -3.830 4.186
Zn -1.320 -2.467 0.015
Zn 2.066 -6.316 7.670
Zn -2.283 -4.690 6.403
Zn -3.792 -1.359 0.694
Zn -0.906 -0.354 -1.646
Zn 0.190 -5.798 5.723
Zn 2.055 -2.841 1.838